No. 1
Below is a relaxed structure of TbSm2Ho9, with properties calculated at the GGA-PBE level.

Cell lengths 3.4897, 11.2048, 11.2048 Å; angles 120.00, 90.00, 90.00 degrees
Sites, in units of the cell vectors:
1 Ho 0.0000 0.5000 0.0000
2 Ho 0.5000 0.3499 0.1750
3 Ho 0.5000 0.8250 0.1750
4 Ho 0.0000 0.0000 0.5000
5 Ho 0.5000 0.1750 0.3499
6 Ho 0.5000 0.1750 0.8250
7 Ho 0.5000 0.6501 0.8250
8 Ho 0.5000 0.8250 0.6501
9 Ho 0.0000 0.5000 0.5000
10 Sm 0.0000 0.6667 0.3333
11 Sm 0.0000 0.3333 0.6667
12 Tb 0.0000 0.0000 0.0000

* E_tot: -4.54 eV per atom
* D(E_F): 19.1 states/eV per cell
* energy relative to the elements: 0.061 eV/atom
* symmetry: P6/mmm, No. 191

No. 2
Below is a relaxed structure of ReRhSe2, with properties calculated at the GGA-PBE level.

Cell lengths 5.5439, 5.5439, 5.5439 Å; angles 147.94, 133.18, 57.88 degrees
Sites, in units of the cell vectors:
1 Rh 0.2456 0.7456 0.5000
2 Se 0.7279 0.2279 0.5000
3 Se 0.0068 0.0068 0.0000
4 Re 0.5197 0.5197 0.0000

* E_tot: -6.28 eV per atom
* D(E_F): 3.8 states/eV per cell
* symmetry: Imm2, No. 44

No. 3
Below is a relaxed structure of Ac2CeDySb4, with properties calculated at the GGA-PBE level.

Cell lengths 4.6255, 7.9973, 8.0150 Å; angles 109.43, 90.00, 90.00 degrees
Each line ends with the local moment (μB).
Sites, in units of the cell vectors:
1 Sb 0.5000 0.2459 0.2297  -0.01
2 Sb 0.0000 0.7404 0.2282  -0.01
3 Sb 0.0000 0.2596 0.7718  -0.01
4 Sb 0.5000 0.7541 0.7703  -0.01
5 Ce 0.0000 0.0000 0.0000  0.72
6 Dy 0.5000 0.5000 0.0000  0.00
7 Ac 0.5000 0.0000 0.5000  0.00
8 Ac 0.0000 0.5000 0.5000  0.00

* E_tot: -5.54 eV per atom
* D(E_F): 6.7 states/eV per cell
* symmetry: P2/m, No. 10

No. 4
Below is a relaxed structure of YZn3Re, with properties calculated at the GGA-PBE level.

Cell lengths 5.2957, 5.2957, 5.2957 Å; angles 90.00, 90.00, 90.00 degrees
Each line ends with the local moment (μB).
Sites, in units of the cell vectors:
1 Re 0.5000 0.5000 0.5000  3.56
2 Zn 0.5000 0.0000 0.0000  -0.07
3 Zn 0.0000 0.5000 0.0000  -0.05
4 Zn 0.0000 0.0000 0.5000  -0.03
5 Y 0.0000 0.0000 0.0000  -0.33

* E_tot: -2.60 eV per atom
* D(E_F): 4.7 states/eV per cell
* energy relative to the elements: 1.947 eV/atom
* symmetry: Pm-3m, No. 221

- Number 2 is which compound?
  ReRhSe2